This record from Alexandria via LeMat-Bulk describes a relaxed SmCd3Pt8 crystal. The functional is PBE.

Summary:
energy of formation from the pure elements: -488 meV per atom
uncorrected energy: -61.6 eV per cell
N(E_F): 11.57 states/eV/cell

Cell lengths 5.4030, 5.4030, 9.3056 Å; angles 73.12, 73.12, 60.00 degrees
With the nearest neighbours (Å) after each atom.
Element x y z (fractional)
Sm1 0.8767 0.8767 0.3699  12 Pt 3.15-3.19, 4 Cd 3.37-3.40
Cd1 0.3719 0.3719 0.8842  12 Pt 3.06-3.21, 4 Cd 3.15-3.24
Cd2 0.0047 0.0047 0.9860  12 Pt 3.05-3.21, 3 Cd 3.24, 1 Sm 3.37
Cd3 0.4917 0.4917 0.5249  12 Pt 3.05-3.37, 1 Cd 3.15, 3 Sm 3.40
Pt1 0.9379 0.4388 0.1846  6 Pt 2.68-2.71
Pt2 0.4363 0.9386 0.6866  6 Pt 2.69-2.71
Pt3 0.4388 0.4388 0.1846  6 Pt 2.68-2.71
Pt4 0.9386 0.9386 0.6866  6 Pt 2.69-2.71
Pt5 0.1882 0.1882 0.4354  6 Pt 2.69-2.70
Pt6 0.6880 0.6880 0.9360  6 Pt 2.68-2.69
Pt7 0.4388 0.9379 0.1846  6 Pt 2.68-2.71
Pt8 0.9386 0.4363 0.6866  6 Pt 2.69-2.71